Record 1
A relaxed structure of CoHgSbPt, computed with PBE.

Output
**Relative energy among the computed polymorphs**: 0.000 eV per formula unit
**SG**: No. 216
**Calculated total energy**: -16.7 eV per formula unit

a = 4.6487 Å, b = 4.6487 Å, c = 4.6487 Å
α = 60.00°, β = 60.00°, γ = 60.00°
Closest atoms and distances in Å follow each position.
Fractional coordinates of all 4 atoms:
Co 0.0000 0.0000 0.0000  4 Sb 2.85, 4 Hg 2.85
Hg 0.2500 0.2500 0.2500  4 Co 2.85, 4 Pt 2.85
Sb 0.7500 0.7500 0.7500  4 Co 2.85, 4 Pt 2.85
Pt 0.5000 0.5000 0.5000  4 Hg 2.85, 4 Sb 2.85

=====

Record 2
A relaxed structure of KGeMoSe4, computed with PBE.

Output
**SG**: No. 4
**Calculated total energy**: -33.4 eV per formula unit

a = 6.4013 Å, b = 6.6649 Å, c = 9.5015 Å
α = 90.00°, β = 106.51°, γ = 90.00°
Closest atoms and distances in Å follow each position.
Fractional coordinates of all 14 atoms:
K 0.2065 0.0000 0.4165  6 Se 3.31-3.53
K 0.7935 0.5000 0.5835  6 Se 3.31-3.53
Ge 0.3120 0.5045 0.1771  4 Se 2.37-2.44
Ge 0.6880 0.0045 0.8229  4 Se 2.37-2.44
Mo 0.2345 0.9019 0.9123  6 Se 2.61-2.79
Mo 0.7655 0.4019 0.0877  6 Se 2.61-2.79
Se 0.0411 0.5420 0.9394  1 Ge 2.44, 1 Mo 2.72
Se 0.0718 0.5067 0.3282  1 Ge 2.38, 1 Mo 2.65
Se 0.4379 0.7392 0.7382  1 Ge 2.37, 1 Mo 2.61
Se 0.4414 0.2529 0.8630  1 Ge 2.39
Se 0.5586 0.7529 0.1370  1 Ge 2.39
Se 0.5621 0.2392 0.2618  1 Ge 2.37, 1 Mo 2.61
Se 0.9282 0.0067 0.6718  1 Ge 2.38, 1 Mo 2.65
Se 0.9589 0.0420 0.0606  1 Ge 2.44, 1 Mo 2.72

=====

Record 3
A relaxed structure of NaCuTePdSe2, computed with PBE.

Output
**SG**: No. 63
**Calculated total energy**: -22.5 eV per formula unit

a = 7.1373 Å, b = 7.1373 Å, c = 10.2168 Å
α = 90.00°, β = 90.00°, γ = 149.54°
Closest atoms and distances in Å follow each position.
Fractional coordinates of all 12 atoms:
Na 0.2288 0.7712 0.7500  2 Cu 3.07, 4 Se 3.19, 2 Te 3.24
Na 0.7712 0.2288 0.2500  2 Cu 3.07, 4 Se 3.19, 2 Te 3.24
Cu 0.4480 0.5520 0.2500  2 Se 2.41, 2 Te 2.60
Cu 0.5520 0.4480 0.7500  2 Se 2.41, 2 Te 2.60
Te 0.0790 0.9210 0.2500  2 Cu 2.60, 2 Pd 2.78
Te 0.9210 0.0790 0.7500  2 Cu 2.60, 2 Pd 2.78
Pd 0.0000 0.0000 0.0000  4 Se 2.60, 2 Te 2.78
Pd 0.0000 0.0000 0.5000  4 Se 2.60, 2 Te 2.78
Se 0.3722 0.6278 0.0375  1 Cu 2.41, 2 Pd 2.60
Se 0.3722 0.6278 0.4625  1 Cu 2.41, 2 Pd 2.60
Se 0.6278 0.3722 0.5375  1 Cu 2.41, 2 Pd 2.60
Se 0.6278 0.3722 0.9625  1 Cu 2.41, 2 Pd 2.60

=====

Record 4
A relaxed structure of NaUTlS3, computed with PBE.

Output
**SG**: No. 63
**Calculated total energy**: -33.6 eV per formula unit

a = 7.5627 Å, b = 7.5627 Å, c = 11.1974 Å
α = 90.00°, β = 90.00°, γ = 148.91°
Closest atoms and distances in Å follow each position.
Fractional coordinates of all 12 atoms:
Na 0.1114 0.8886 0.7500  4 S 2.65-2.82
Na 0.8886 0.1114 0.2500  4 S 2.65-2.82
U 0.5000 0.5000 0.0000  6 S 2.68-2.82
U 0.5000 0.5000 0.5000  6 S 2.68-2.82
Tl 0.1750 0.8250 0.2500  4 S 3.00-3.05
Tl 0.8250 0.1750 0.7500  4 S 3.00-3.05
S 0.1203 0.8797 0.5133  1 Na 2.65, 2 U 2.68
S 0.1203 0.8797 0.9867  1 Na 2.65, 2 U 2.68
S 0.4766 0.5234 0.7500  2 U 2.82, 2 Na 2.82, 2 Tl 3.00
S 0.5234 0.4766 0.2500  2 U 2.82, 2 Na 2.82, 2 Tl 3.00
S 0.8797 0.1203 0.0133  1 Na 2.65, 2 U 2.68
S 0.8797 0.1203 0.4867  1 Na 2.65, 2 U 2.68

=====

Record 5
A relaxed structure of SrInSnPt2, computed with PBE.

Output
**Relative energy among the computed polymorphs**: 0.000 eV per formula unit
**SG**: No. 11
**Calculated total energy**: -24.4 eV per formula unit

a = 4.8400 Å, b = 4.6686 Å, c = 10.5443 Å
α = 90.00°, β = 92.87°, γ = 90.00°
Closest atoms and distances in Å follow each position.
Fractional coordinates of all 10 atoms:
Sr 0.2339 0.2500 0.2431  3 Pt 3.16-3.49
Sr 0.7661 0.7500 0.7569  3 Pt 3.16-3.49
In 0.2454 0.7500 0.4967  4 Pt 2.75-2.79
In 0.7546 0.2500 0.5033  4 Pt 2.75-2.79
Sn 0.3050 0.2500 0.8860  5 Pt 2.64-2.71
Sn 0.6950 0.7500 0.1140  5 Pt 2.64-2.71
Pt 0.1819 0.7500 0.9976  4 Sn 2.69-2.71, 2 Pt 2.93
Pt 0.2686 0.2500 0.6352  1 Sn 2.64, 4 In 2.75-2.79
Pt 0.7314 0.7500 0.3648  1 Sn 2.64, 4 In 2.75-2.79
Pt 0.8181 0.2500 0.0024  4 Sn 2.69-2.71, 2 Pt 2.93

=====

Record 6
A relaxed structure of SbTeIr, computed with PBE.

Output
**SG**: No. 62
**Calculated total energy**: -15.9 eV per formula unit

a = 5.5047 Å, b = 3.7965 Å, c = 13.5835 Å
α = 90.00°, β = 90.00°, γ = 90.00°
Closest atoms and distances in Å follow each position.
Fractional coordinates of all 12 atoms:
Sb 0.2165 0.2500 0.1654  4 Ir 2.66-2.93
Sb 0.2835 0.7500 0.6654  4 Ir 2.66-2.93
Sb 0.7165 0.2500 0.3346  4 Ir 2.66-2.93
Sb 0.7835 0.7500 0.8346  4 Ir 2.66-2.93
Te 0.2131 0.2500 0.4313  2 Ir 2.71, 1 Sb 3.03
Te 0.2869 0.7500 0.9313  2 Ir 2.71, 1 Sb 3.03
Te 0.7131 0.2500 0.0687  2 Ir 2.71, 1 Sb 3.03
Te 0.7869 0.7500 0.5687  2 Ir 2.71, 1 Sb 3.03
Ir 0.1779 0.2500 0.7954  4 Sb 2.66-2.93, 2 Te 2.71
Ir 0.3221 0.7500 0.2954  4 Sb 2.66-2.93, 2 Te 2.71
Ir 0.6779 0.2500 0.7046  4 Sb 2.66-2.93, 2 Te 2.71
Ir 0.8221 0.7500 0.2046  4 Sb 2.66-2.93, 2 Te 2.71

=====

Record 7
A relaxed structure of PrSm2, computed with PBE.

Output
**Energy relative to the elements**: 0.751 eV per formula unit
**Relative energy among the computed polymorphs**: 0.000 eV per formula unit
**SG**: No. 227
**Calculated total energy**: -13.4 eV per formula unit

a = 6.7087 Å, b = 6.7087 Å, c = 6.7087 Å
α = 60.00°, β = 60.00°, γ = 60.00°
Closest atoms and distances in Å follow each position.
Fractional coordinates of all 6 atoms:
Pr 0.1250 0.1250 0.1250  12 Sm 3.93, 4 Pr 4.11
Pr 0.8750 0.8750 0.8750  12 Sm 3.93, 4 Pr 4.11
Sm 0.0000 0.5000 0.5000  6 Sm 3.35
Sm 0.5000 0.0000 0.5000  6 Sm 3.35
Sm 0.5000 0.5000 0.0000  6 Sm 3.35
Sm 0.5000 0.5000 0.5000  6 Sm 3.35

=====

Record 8
A relaxed structure of DyYSe2Br2, computed with PBE.

Output
**SG**: No. 25
**Calculated total energy**: -32.8 eV per formula unit

a = 4.1085 Å, b = 5.6352 Å, c = 8.7316 Å
α = 90.00°, β = 90.00°, γ = 90.00°
Closest atoms and distances in Å follow each position.
Fractional coordinates of all 6 atoms:
Dy 0.0000 0.0000 0.0000  2 Br 2.82, 4 Se 2.83-2.87
Y 0.5000 0.5000 0.7360  2 Br 2.82, 4 Se 2.83-2.88
Se 0.0000 0.5000 0.9670  2 Dy 2.83, 2 Y 2.88
Se 0.5000 0.0000 0.7698  2 Y 2.83, 2 Dy 2.87
Br 0.0000 0.5000 0.5143  2 Y 2.82
Br 0.5000 0.0000 0.2210  2 Dy 2.82

=====

Record 9
A relaxed structure of RbScPdSe3, computed with PBE.

Output
**SG**: No. 63
**Calculated total energy**: -29.4 eV per formula unit

a = 8.1327 Å, b = 8.1327 Å, c = 9.9256 Å
α = 90.00°, β = 90.00°, γ = 151.85°
Closest atoms and distances in Å follow each position.
Fractional coordinates of all 12 atoms:
Rb 0.2433 0.7567 0.7500  8 Se 3.41-3.74
Rb 0.7567 0.2433 0.2500  8 Se 3.41-3.74
Sc 0.0000 0.0000 0.0000  6 Se 2.75-2.79
Sc 0.0000 0.0000 0.5000  6 Se 2.75-2.79
Pd 0.4820 0.5180 0.2500  4 Se 2.49-2.52
Pd 0.5180 0.4820 0.7500  4 Se 2.49-2.52
Se 0.0806 0.9194 0.2500  2 Pd 2.52, 2 Sc 2.79
Se 0.3839 0.6161 0.0535  1 Pd 2.49, 2 Sc 2.75
Se 0.3839 0.6161 0.4465  1 Pd 2.49, 2 Sc 2.75
Se 0.6161 0.3839 0.5535  1 Pd 2.49, 2 Sc 2.75
Se 0.6161 0.3839 0.9465  1 Pd 2.49, 2 Sc 2.75
Se 0.9194 0.0806 0.7500  2 Pd 2.52, 2 Sc 2.79

=====

Record 10
A relaxed structure of Zn2CdAs, computed with PBE.

Output
**SG**: No. 216
**Calculated total energy**: -7.3 eV per formula unit

a = 4.7421 Å, b = 4.7421 Å, c = 4.7421 Å
α = 60.00°, β = 60.00°, γ = 60.00°
Closest atoms and distances in Å follow each position.
Fractional coordinates of all 4 atoms:
Zn 0.0000 0.0000 0.0000  4 Cd 2.90, 4 Zn 2.90
Zn 0.2500 0.2500 0.2500  4 As 2.90, 4 Zn 2.90
Cd 0.7500 0.7500 0.7500  4 Zn 2.90, 4 As 2.90
As 0.5000 0.5000 0.5000  4 Cd 2.90, 4 Zn 2.90

=====

Record 11
A relaxed structure of Be2FeAu, computed with PBE.

Output
**SG**: No. 216
**Calculated total energy**: -18.3 eV per formula unit

a = 4.0904 Å, b = 4.0904 Å, c = 4.0904 Å
α = 60.00°, β = 60.00°, γ = 60.00°
Closest atoms and distances in Å follow each position.
Fractional coordinates of all 4 atoms:
Be 0.0000 0.0000 0.0000  4 Be 2.50, 4 Au 2.50
Be 0.2500 0.2500 0.2500  4 Fe 2.50, 4 Be 2.50
Fe 0.5000 0.5000 0.5000  4 Be 2.50, 4 Au 2.50
Au 0.7500 0.7500 0.7500  4 Fe 2.50, 4 Be 2.50

=====

Record 12
A relaxed structure of TmAsAu, computed with PBE.

Output
**SG**: No. 216
**Calculated total energy**: -14.3 eV per formula unit

a = 4.6978 Å, b = 4.6978 Å, c = 4.6978 Å
α = 60.00°, β = 60.00°, γ = 60.00°
Closest atoms and distances in Å follow each position.
Fractional coordinates of all 3 atoms:
Tm 0.0000 0.0000 0.0000  4 As 2.88, 4 Au 2.88
As 0.7500 0.7500 0.7500  4 Tm 2.88
Au 0.2500 0.2500 0.2500  4 Tm 2.88